No. 1
This record from Alexandria describes a relaxed structure of HfScTlCd. The functional is GGA-PBE.

Unit cell a=4.9981 b=4.9981 c=4.9981 alpha=60.00 beta=60.00 gamma=60.00
Fractional coordinates of all 4 atoms:
Hf 0.5000 0.5000 0.5000
Cd 0.7500 0.7500 0.7500
Tl 0.2500 0.2500 0.2500
Sc 0.0000 0.0000 0.0000

Results
V ... 88 Å³ per cell
Energy of formation from the pure elements ... -44.5 meV per atom
E_tot ... -4.9361 eV per atom

---

No. 2
This record from Alexandria describes a relaxed structure of YHfSc2Cd. The functional is GGA-PBE.

Unit cell a=5.2145 b=5.2567 c=5.2145 alpha=90.00 beta=90.00 gamma=90.00
Fractional coordinates of all 5 atoms:
Sc 0.0000 0.0000 0.5000
Sc 0.5000 0.0000 0.0000
Y 0.0000 0.0000 0.0000
Hf 0.0000 0.5000 0.0000
Cd 0.5000 0.5000 0.5000

Results
V ... 143 Å³ per cell
Energy of formation from the pure elements ... 1122.8 meV per atom
E_tot ... -4.8764 eV per atom

---

No. 3
This record from Alexandria describes a relaxed structure of HfZrScCd. The functional is GGA-PBE.

Unit cell a=3.1976 b=3.1976 c=8.7877 alpha=90.00 beta=90.00 gamma=90.00
Fractional coordinates of all 4 atoms:
Hf 0.0000 0.0000 0.5702
Zr 0.5000 0.5000 0.8206
Cd 0.0000 0.0000 0.0742
Sc 0.5000 0.5000 0.3197

Results
V ... 90 Å³ per cell
Energy of formation from the pure elements ... -109.9 meV per atom
E_tot ... -6.5470 eV per atom

---

No. 4
This record from Alexandria describes a relaxed structure of HfCdSe2. The functional is GGA-PBE.

Unit cell a=9.8571 b=9.8571 c=9.8571 alpha=21.58 beta=21.58 gamma=21.58
Fractional coordinates of all 4 atoms:
Cd 0.0000 0.0000 0.0000
Se 0.1107 0.1107 0.1107
Se 0.8893 0.8893 0.8893
Hf 0.5000 0.5000 0.5000

Results
V ... 114 Å³ per cell
E_tot ... -5.3751 eV per atom

---

No. 5
This record from Alexandria describes a relaxed structure of Hf2CdSe. The functional is GGA-PBE.

Unit cell a=3.3801 b=3.3801 c=8.8584 alpha=79.00 beta=79.00 gamma=60.00
Fractional coordinates of all 4 atoms:
Cd 0.5000 0.5000 0.5000
Hf 0.2597 0.2597 0.2209
Hf 0.0736 0.0736 0.7793
Se 0.6667 0.6667 0.9998

Results
V ... 85 Å³ per cell
E above lowest polymorph ... 0.0 kJ/mol of atoms
E_tot ... -6.4041 eV per atom

---

No. 6
This record from Alexandria describes a relaxed structure of Hf2CdSe. The functional is GGA-PBE.

Unit cell a=4.2652 b=4.2652 c=10.5108 alpha=78.29 beta=78.29 gamma=90.00
Fractional coordinates of all 8 atoms:
Cd 0.7500 0.2500 0.5000
Cd 0.0000 0.0000 0.0000
Se 0.5000 0.5000 0.0000
Se 0.2500 0.7500 0.5000
Hf 0.1328 0.6250 0.2500
Hf 0.8750 0.8672 0.7500
Hf 0.3750 0.3828 0.7500
Hf 0.6172 0.1250 0.2500

Results
V ... 183 Å³ per cell
E above lowest polymorph ... 47.3 kJ/mol of atoms
E_tot ... -5.9142 eV per atom